Density functional theory data (PBE-GGA) for crystalline LaPr5NdHo2 at its relaxed geometry.

Output
**Space group**: Cmc2_1

Cell lengths 5.7866, 10.7128, 10.7512 Å; angles 90.00, 90.00, 105.67 degrees
With the nearest neighbours (Å) after each atom.
Fractional coordinates of all 18 atoms:
Pr1 0.7195 0.4390 0.8122  1 La 3.14, 1 Ho 3.37, 2 Pr 3.48
Nd1 0.8006 0.6012 0.5113  2 Ho 3.49-3.77, 7 Pr 3.56-3.85, 2 La 3.81
Pr2 0.3894 0.7788 0.0276  6 Pr 3.57-3.99, 4 Ho 3.63-3.64, 1 Nd 3.92
Ho1 0.8826 0.7653 0.8243  8 Pr 3.37-3.65, 1 Nd 3.77
La1 0.4158 0.8315 0.4463  5 Pr 3.14-3.40
La2 0.5842 0.1685 0.9463  5 Pr 3.14-3.40
Pr3 0.2805 0.5610 0.3122  1 La 3.14, 1 Ho 3.37, 2 Pr 3.48
Pr4 0.6106 0.2212 0.5276  6 Pr 3.57-3.99, 4 Ho 3.63-3.64, 1 Nd 3.92
Pr5 0.9838 0.9676 0.5250  2 La 3.33, 3 Ho 3.47-3.71, 2 Pr 3.71
Pr6 0.2948 0.5896 0.7037  3 Pr 3.48-3.76, 3 Nd 3.56-3.85, 3 Ho 3.65-3.77, 1 La 3.73
Nd2 0.1994 0.3988 0.0113  2 Ho 3.49-3.77, 7 Pr 3.56-3.85, 2 La 3.81
Pr7 0.7052 0.4104 0.2037  3 Pr 3.48-3.76, 3 Nd 3.56-3.85, 3 Ho 3.65-3.77, 1 La 3.73
Pr8 0.5237 0.0475 0.2405  2 La 3.14-3.40
Ho2 0.8875 0.7749 0.2332  7 Pr 3.47-3.77, 1 Nd 3.49, 2 La 3.74
Ho3 0.1125 0.2251 0.7332  7 Pr 3.47-3.77, 1 Nd 3.49, 2 La 3.74
Ho4 0.1174 0.2347 0.3243  8 Pr 3.37-3.65, 1 Nd 3.77
Pr9 0.0162 0.0324 0.0250  2 La 3.33, 3 Ho 3.47-3.71, 2 Pr 3.71
Pr10 0.4763 0.9525 0.7405  2 La 3.14-3.40

---

Density functional theory data (PBE-GGA) for crystalline La2PrNd6Ho3 at its relaxed geometry.

Output
**Space group**: C2/m

Cell lengths 6.3474, 6.3474, 12.0968 Å; angles 95.02, 95.02, 120.04 degrees
With the nearest neighbours (Å) after each atom.
Fractional coordinates of all 12 atoms:
Nd1 0.4193 0.0861 0.2563  3 Ho 3.59, 6 Nd 3.66-3.67, 2 La 3.71-3.72, 1 Pr 3.71
La1 0.3334 0.6666 0.0000  3 Pr 3.66-3.67, 3 La 3.66, 6 Nd 3.71-3.72
Nd2 0.0861 0.4193 0.2563  3 Ho 3.59, 6 Nd 3.66-3.67, 2 La 3.71-3.72, 1 Pr 3.71
Nd3 0.5807 0.9139 0.7437  3 Ho 3.59, 6 Nd 3.66-3.67, 2 La 3.71-3.72, 1 Pr 3.71
Ho1 0.8334 0.1666 0.5000  6 Nd 3.59, 6 Ho 3.66-3.67
Pr1 0.0000 0.0000 0.0000  6 La 3.66-3.67, 6 Nd 3.71
Ho2 0.5000 0.5000 0.5000  6 Nd 3.59-3.60, 6 Ho 3.66-3.67
Nd4 0.9139 0.5807 0.7437  3 Ho 3.59, 6 Nd 3.66-3.67, 2 La 3.71-3.72, 1 Pr 3.71
Nd5 0.2472 0.2472 0.7439  3 Ho 3.59-3.60, 6 Nd 3.66-3.67, 1 Pr 3.71, 2 La 3.71
La2 0.6666 0.3334 0.0000  3 Pr 3.66-3.67, 3 La 3.66, 6 Nd 3.71-3.72
Nd6 0.7528 0.7528 0.2561  3 Ho 3.59-3.60, 6 Nd 3.66-3.67, 1 Pr 3.71, 2 La 3.71
Ho3 0.1666 0.8334 0.5000  6 Nd 3.59, 6 Ho 3.66-3.67

---

Density functional theory data (PBE-GGA) for crystalline LaPr2Nd5Ho at its relaxed geometry.

Output
**Space group**: I4/mcm

Cell lengths 8.9645, 8.9645, 10.2154 Å; angles 116.03, 116.03, 90.00 degrees
With the nearest neighbours (Å) after each atom.
Fractional coordinates of all 18 atoms:
Pr1 0.6179 0.1179 0.0000  1 Pr 2.99, 2 Nd 3.12
Nd1 0.8482 0.9292 0.2773  1 Pr 3.12, 1 Ho 3.20
Nd2 0.5000 0.5000 0.0000  4 Pr 3.58, 8 Nd 3.90, 2 La 4.01
Nd3 0.6518 0.1518 0.7227  1 Pr 3.12, 1 Ho 3.20
Nd4 0.1518 0.0708 0.7227  1 Pr 3.12, 1 Ho 3.20
Nd5 0.0708 0.5708 0.7227  1 Pr 3.12, 1 Ho 3.20
Nd6 0.3482 0.8482 0.2773  1 Pr 3.12, 1 Ho 3.20
Nd7 0.5708 0.6518 0.7227  1 Pr 3.12, 1 Ho 3.20
Pr2 0.1179 0.3821 0.0000  1 Pr 2.99, 2 Nd 3.12
La1 0.2500 0.2500 0.5000  10 Nd 3.67-4.01
La2 0.7500 0.7500 0.5000  10 Nd 3.67-4.01
Pr3 0.8821 0.6179 0.0000  1 Pr 2.99, 2 Nd 3.12
Nd8 0.4292 0.3482 0.2773  1 Pr 3.12, 1 Ho 3.20
Pr4 0.3821 0.8821 0.0000  1 Pr 2.99, 2 Nd 3.12
Nd9 0.0000 0.0000 0.0000  4 Pr 3.58, 8 Nd 3.90, 2 La 4.01
Ho1 0.7500 0.2500 0.5000  4 Nd 3.20
Ho2 0.2500 0.7500 0.5000  4 Nd 3.20
Nd10 0.9292 0.4292 0.2773  1 Pr 3.12, 1 Ho 3.20

---

Density functional theory data (PBE-GGA) for crystalline La2PrNd2Ho at its relaxed geometry.

Output
**Space group**: Pmma

Cell lengths 5.8292, 7.1824, 10.0609 Å; angles 90.00, 90.00, 90.00 degrees
With the nearest neighbours (Å) after each atom.
Fractional coordinates of all 12 atoms:
La1 0.0000 0.2576 0.1740  5 Nd 3.32-3.59
Nd1 0.0000 0.2577 0.8341  2 Pr 3.40, 3 La 3.42-3.59
Ho1 0.0000 0.0075 0.5000  2 Ho 3.59, 2 La 3.74, 4 Pr 3.78, 6 Nd 3.81
Nd2 0.0000 0.7577 0.1659  2 Pr 3.40, 3 La 3.42-3.59
Nd3 0.5000 0.7575 0.6671  3 Pr 3.29-3.59, 2 La 3.32
La2 0.5000 0.0077 0.9999  6 La 3.59-3.84, 6 Nd 3.80-3.81, 2 Pr 3.86
Pr1 0.5000 0.2575 0.6603  5 Nd 3.29-3.59
La3 0.5000 0.5077 0.0001  6 La 3.59-3.84, 6 Nd 3.80-3.81, 2 Pr 3.86
Pr2 0.5000 0.7575 0.3397  5 Nd 3.29-3.59
La4 0.0000 0.7576 0.8260  5 Nd 3.32-3.59
Nd4 0.5000 0.2575 0.3329  3 Pr 3.29-3.59, 2 La 3.32
Ho2 0.0000 0.5075 0.5000  2 Ho 3.59, 2 La 3.74, 4 Pr 3.78, 6 Nd 3.81

---

Density functional theory data (PBE-GGA) for crystalline LaPrNdHo2 at its relaxed geometry.

Output
**Space group**: Cmcm

Cell lengths 7.2524, 8.5328, 7.2481 Å; angles 126.06, 90.00, 90.00 degrees
With the nearest neighbours (Å) after each atom.
Fractional coordinates of all 10 atoms:
Nd1 0.7500 0.9999 0.9998  1 La 3.13, 4 Ho 3.23, 1 Pr 3.23
Ho1 0.0000 0.6872 0.0000  1 Ho 3.19, 2 Nd 3.23, 2 Pr 3.57
La1 0.7500 0.2669 0.5337  1 Nd 3.13
Ho2 0.5000 0.3128 0.0000  1 Ho 3.19, 2 Nd 3.23, 2 Pr 3.57
Ho3 0.5000 0.6872 0.0000  1 Ho 3.19, 2 Nd 3.23, 2 Pr 3.57
Pr1 0.7500 0.7239 0.4477  1 Nd 3.23, 4 Ho 3.57
Ho4 0.0000 0.3128 0.0000  1 Ho 3.19, 2 Nd 3.23, 2 Pr 3.57
Pr2 0.2500 0.2761 0.5523  1 Nd 3.23, 4 Ho 3.57
Nd2 0.2500 0.0001 0.0002  1 La 3.13, 4 Ho 3.23, 1 Pr 3.23
La2 0.2500 0.7331 0.4663  1 Nd 3.13

---

Density functional theory data (PBE-GGA) for crystalline LaPr5Nd2Ho at its relaxed geometry.

Output
**Space group**: I4/mcm

Cell lengths 9.0444, 9.0444, 10.1976 Å; angles 116.32, 116.32, 90.00 degrees
With the nearest neighbours (Å) after each atom.
Fractional coordinates of all 18 atoms:
Pr1 0.5000 0.5000 0.0000  4 Nd 3.63, 8 Pr 3.91, 2 La 3.97
Pr2 0.5705 0.6535 0.7240  1 Nd 3.13, 1 Ho 3.21
Ho1 0.2500 0.7500 0.5000  4 Pr 3.21
Pr3 0.0705 0.5705 0.7240  1 Nd 3.13, 1 Ho 3.21
Pr4 0.0000 0.0000 0.0000  4 Nd 3.63, 8 Pr 3.91, 2 La 3.97
Pr5 0.4295 0.3465 0.2760  1 Nd 3.13, 1 Ho 3.21
Nd1 0.6164 0.1164 0.0000  1 Nd 2.98, 2 Pr 3.13
Pr6 0.1535 0.0705 0.7240  1 Nd 3.13, 1 Ho 3.21
Pr7 0.3465 0.8465 0.2760  1 Nd 3.13, 1 Ho 3.21
Nd2 0.3836 0.8836 0.0000  1 Nd 2.98, 2 Pr 3.13
Pr8 0.9295 0.4295 0.2760  1 Nd 3.13, 1 Ho 3.21
Nd3 0.8836 0.6164 0.0000  1 Nd 2.98, 2 Pr 3.13
La1 0.2500 0.2500 0.5000  10 Pr 3.70-3.97
Pr9 0.6535 0.1535 0.7240  1 Nd 3.13, 1 Ho 3.21
Ho2 0.7500 0.2500 0.5000  4 Pr 3.21
La2 0.7500 0.7500 0.5000  10 Pr 3.70-3.97
Pr10 0.8465 0.9295 0.2760  1 Nd 3.13, 1 Ho 3.21
Nd4 0.1164 0.3836 0.0000  1 Nd 2.98, 2 Pr 3.13

---

Density functional theory data (PBE-GGA) for crystalline La2Pr6Nd3Ho at its relaxed geometry.

Output
**Space group**: C2/m

Cell lengths 6.4079, 6.4079, 12.2653 Å; angles 95.05, 95.05, 119.99 degrees
With the nearest neighbours (Å) after each atom.
Fractional coordinates of all 12 atoms:
Pr1 0.9164 0.5851 0.7496  6 Pr 3.68-3.71, 3 Nd 3.69-3.70, 1 Ho 3.69, 2 La 3.70-3.71
Ho1 0.0000 0.0000 0.0000  6 Pr 3.69-3.70, 6 La 3.70
Nd1 0.5000 0.5000 0.5000  6 Pr 3.69-3.70, 6 Nd 3.70
Pr2 0.2487 0.2487 0.7495  6 Pr 3.68-3.71, 3 Nd 3.69-3.70, 1 Ho 3.70, 2 La 3.71
Nd2 0.8337 0.1663 0.5000  6 Pr 3.69-3.70, 6 Nd 3.69-3.70
Nd3 0.1663 0.8337 0.5000  6 Pr 3.69-3.70, 6 Nd 3.69-3.70
Pr3 0.7513 0.7513 0.2505  6 Pr 3.68-3.71, 3 Nd 3.69-3.70, 1 Ho 3.70, 2 La 3.71
Pr4 0.5851 0.9164 0.7496  6 Pr 3.68-3.71, 3 Nd 3.69-3.70, 1 Ho 3.69, 2 La 3.70-3.71
La1 0.3329 0.6671 0.0000  3 Ho 3.70, 3 La 3.70-3.71, 6 Pr 3.70-3.71
La2 0.6671 0.3329 0.0000  3 Ho 3.70, 3 La 3.70-3.71, 6 Pr 3.70-3.71
Pr5 0.4149 0.0836 0.2504  6 Pr 3.68-3.71, 3 Nd 3.69-3.70, 1 Ho 3.69, 2 La 3.70-3.71
Pr6 0.0836 0.4149 0.2504  6 Pr 3.68-3.71, 3 Nd 3.69-3.70, 1 Ho 3.69, 2 La 3.70-3.71

---

Density functional theory data (PBE-GGA) for crystalline La2Pr2Nd2Ho at its relaxed geometry.

Output
**Space group**: C2/m

Cell lengths 5.2255, 6.3840, 8.2556 Å; angles 97.49, 90.00, 114.16 degrees
With the nearest neighbours (Å) after each atom.
Fractional coordinates of all 7 atoms:
Nd1 0.4300 0.8599 0.2835  4 Pr 3.66-3.70, 5 La 3.67-3.73, 2 Ho 3.68, 1 Nd 3.71
Nd2 0.5700 0.1401 0.7165  4 Pr 3.66-3.70, 5 La 3.67-3.73, 2 Ho 3.68, 1 Nd 3.71
Ho1 0.0000 0.0000 0.0000  2 La 3.66, 6 Pr 3.67-3.69, 4 Nd 3.68
La1 0.1425 0.2851 0.4255  1 Ho 3.66, 5 Nd 3.67-3.73, 3 Pr 3.69-3.73, 3 La 3.70
Pr1 0.2853 0.5706 0.8599  4 Nd 3.66-3.70, 2 Pr 3.66, 3 Ho 3.67-3.69, 3 La 3.69-3.73
Pr2 0.7147 0.4294 0.1401  4 Nd 3.66-3.70, 2 Pr 3.66, 3 Ho 3.67-3.69, 3 La 3.69-3.73
La2 0.8575 0.7149 0.5745  1 Ho 3.66, 5 Nd 3.67-3.73, 3 Pr 3.69-3.73, 3 La 3.70

---

Density functional theory data (PBE-GGA) for crystalline La2PrNd4Ho at its relaxed geometry.

Output
**Space group**: P2/m

Cell lengths 5.2079, 5.1950, 11.6842 Å; angles 63.53, 90.00, 90.00 degrees
With the nearest neighbours (Å) after each atom.
Fractional coordinates of all 8 atoms:
La1 0.5000 0.0000 0.5000  8 Nd 3.67, 4 Ho 3.68
Pr1 0.5000 0.5000 0.0000  4 La 3.68, 8 Nd 3.70-3.71
Nd1 0.0000 0.2466 0.2529  2 Ho 3.66-3.67, 4 La 3.67-3.71, 4 Nd 3.68, 2 Pr 3.71
Ho1 0.0000 0.5000 0.5000  8 Nd 3.66-3.67, 4 La 3.68
Nd2 0.5000 0.7477 0.2523  4 La 3.67-3.71, 2 Ho 3.67, 4 Nd 3.68, 2 Pr 3.70-3.71
Nd3 0.5000 0.2523 0.7477  4 La 3.67-3.71, 2 Ho 3.67, 4 Nd 3.68, 2 Pr 3.70-3.71
Nd4 0.0000 0.7534 0.7471  2 Ho 3.66-3.67, 4 La 3.67-3.71, 4 Nd 3.68, 2 Pr 3.71
La2 0.0000 0.0000 0.0000  4 Pr 3.68, 8 Nd 3.71

---

Density functional theory data (PBE-GGA) for crystalline La2PrNd2Ho2 at its relaxed geometry.

Output
**Space group**: C2/m

Cell lengths 5.1639, 6.3345, 8.2172 Å; angles 97.22, 90.00, 114.05 degrees
With the nearest neighbours (Å) after each atom.
Fractional coordinates of all 7 atoms:
La1 0.1422 0.2843 0.4278  3 La 3.65-3.67, 5 Ho 3.65-3.66, 3 Nd 3.67-3.69, 1 Pr 3.67
Ho1 0.4289 0.8578 0.2860  5 La 3.65-3.66, 4 Nd 3.66-3.68, 2 Pr 3.66, 1 Ho 3.67
Nd1 0.7150 0.4300 0.1420  2 Nd 3.65, 3 Pr 3.65-3.66, 4 Ho 3.66-3.68, 3 La 3.67-3.69
Ho2 0.5711 0.1422 0.7140  5 La 3.65-3.66, 4 Nd 3.66-3.68, 2 Pr 3.66, 1 Ho 3.67
Nd2 0.2850 0.5700 0.8580  2 Nd 3.65, 3 Pr 3.65-3.66, 4 Ho 3.66-3.68, 3 La 3.67-3.69
Pr1 0.0000 0.0000 0.0000  6 Nd 3.65-3.66, 4 Ho 3.66, 2 La 3.67
La2 0.8578 0.7157 0.5722  3 La 3.65-3.67, 5 Ho 3.65-3.66, 3 Nd 3.67-3.69, 1 Pr 3.67

---

Density functional theory data (PBE-GGA) for crystalline La2Pr4NdHo at its relaxed geometry.

Output
**Space group**: P2/m

Cell lengths 5.2253, 5.2082, 11.7255 Å; angles 63.54, 90.00, 90.00 degrees
With the nearest neighbours (Å) after each atom.
Fractional coordinates of all 8 atoms:
Pr1 0.5000 0.7481 0.2519  4 La 3.68-3.72, 4 Pr 3.69, 2 Ho 3.69, 2 Nd 3.71
Ho1 0.0000 0.5000 0.5000  8 Pr 3.67-3.69, 4 La 3.69
Pr2 0.0000 0.7533 0.7473  2 Ho 3.67-3.68, 4 La 3.68-3.72, 4 Pr 3.69, 2 Nd 3.72
Nd1 0.5000 0.5000 0.0000  4 La 3.69, 8 Pr 3.71-3.72
Pr3 0.0000 0.2467 0.2527  2 Ho 3.67-3.68, 4 La 3.68-3.72, 4 Pr 3.69, 2 Nd 3.72
Pr4 0.5000 0.2519 0.7481  4 La 3.68-3.72, 4 Pr 3.69, 2 Ho 3.69, 2 Nd 3.71
La1 0.5000 0.0000 0.5000  8 Pr 3.68-3.69, 4 Ho 3.69
La2 0.0000 0.0000 0.0000  4 Nd 3.69, 8 Pr 3.72

---

Density functional theory data (PBE-GGA) for crystalline La2Pr6NdHo at its relaxed geometry.

Output
**Space group**: C2/c

Cell lengths 10.1803, 9.0045, 9.0045 Å; angles 117.76, 95.11, 95.11 degrees
With the nearest neighbours (Å) after each atom.
Fractional coordinates of all 20 atoms:
La1 0.0416 0.2898 0.1941  5 Pr 3.33-3.65, 2 Nd 3.45-3.48, 1 Ho 3.65
Pr1 0.1199 0.7011 0.4964  3 La 3.33-3.61, 4 Pr 3.41-3.66, 2 Ho 3.49-3.72
Nd1 0.2500 0.9871 0.0129  4 La 3.45-3.48, 4 Pr 3.69-3.70
Pr2 0.8801 0.2989 0.5036  3 La 3.33-3.61, 4 Pr 3.41-3.66, 2 Ho 3.49-3.72
Ho1 0.7500 0.5942 0.4058  8 Pr 3.49-3.88, 2 La 3.65
Nd2 0.7500 0.0129 0.9871  4 La 3.45-3.48, 4 Pr 3.69-3.70
La2 0.9584 0.7102 0.8059  5 Pr 3.33-3.65, 2 Nd 3.45-3.48, 1 Ho 3.65
Pr3 0.6199 0.4964 0.7011  3 La 3.33-3.61, 4 Pr 3.41-3.66, 2 Ho 3.49-3.72
Pr4 0.0548 0.1191 0.7410  7 Pr 3.53-3.89, 1 La 3.65, 1 Nd 3.69, 1 Ho 3.88
Ho2 0.2500 0.4058 0.5942  8 Pr 3.49-3.88, 2 La 3.65
Pr5 0.5548 0.7410 0.1191  7 Pr 3.53-3.89, 1 La 3.65, 1 Nd 3.69, 1 Ho 3.88
La3 0.4584 0.8059 0.7102  5 Pr 3.33-3.65, 2 Nd 3.45-3.48, 1 Ho 3.65
Pr6 0.1890 0.5772 0.0155  4 Pr 3.41-3.78, 1 Ho 3.51, 1 La 3.51, 1 Nd 3.70
Pr7 0.9452 0.8809 0.2590  7 Pr 3.53-3.89, 1 La 3.65, 1 Nd 3.69, 1 Ho 3.88
Pr8 0.8110 0.4228 0.9845  4 Pr 3.41-3.78, 1 Ho 3.51, 1 La 3.51, 1 Nd 3.70
Pr9 0.6890 0.0155 0.5772  4 Pr 3.41-3.78, 1 Ho 3.51, 1 La 3.51, 1 Nd 3.70
La4 0.5416 0.1941 0.2898  5 Pr 3.33-3.65, 2 Nd 3.45-3.48, 1 Ho 3.65
Pr10 0.3801 0.5036 0.2989  3 La 3.33-3.61, 4 Pr 3.41-3.66, 2 Ho 3.49-3.72
Pr11 0.4452 0.2590 0.8809  7 Pr 3.53-3.89, 1 La 3.65, 1 Nd 3.69, 1 Ho 3.88
Pr12 0.3110 0.9845 0.4228  4 Pr 3.41-3.78, 1 Ho 3.51, 1 La 3.51, 1 Nd 3.70

---

Table of energy (eV/cell), in record order: -82.93 -56.74 -81.13 -56.91 -43.97 -81.15 -57.24 -33.40 -38.13 -33.17 -38.18 -93.64